Density functional theory data (meta-GGA SCAN) for a PBEsol-optimized structure of YTcSb4.

## Properties
Crystal system: cubic
Fermi-level density of states (states/eV/f.u.): 5.09
Energy relative to the elements, uncorrected (eV/atom): 0.528
Symmetry: No. 216

Lattice parameters (Å, degrees): 6.0175 6.0175 6.0175 60.00 60.00 60.00
Sites, in units of the cell vectors:
Sb 0.3756 0.3756 0.3756
Sb 0.3756 0.8733 0.3756
Sb 0.8733 0.3756 0.3756
Sb 0.3756 0.3756 0.8733
Y 0.0000 0.0000 0.0000
Tc 0.7500 0.7500 0.7500


Density functional theory data (meta-GGA SCAN) for a PBEsol-optimized structure of Zr4BeBr.

## Properties
Crystal system: cubic
Fermi-level density of states (states/eV/f.u.): 4.47
Energy relative to the elements, uncorrected (eV/atom): 0.707
Symmetry: No. 216

Lattice parameters (Å, degrees): 5.6571 5.6571 5.6571 60.00 60.00 60.00
Sites, in units of the cell vectors:
Zr 0.3777 0.8668 0.3777
Zr 0.8668 0.3777 0.3777
Zr 0.3777 0.3777 0.3777
Zr 0.3777 0.3777 0.8668
Br 0.0000 0.0000 0.0000
Be 0.7500 0.7500 0.7500


Density functional theory data (meta-GGA SCAN) for a PBEsol-optimized structure of Mg2Ag.

## Properties
Crystal system: tetragonal
Fermi-level density of states (states/eV/f.u.): 1.21
Raw total energy (eV per atom): -13.8611
Symmetry: No. 141

Lattice parameters (Å, degrees): 3.1779 3.1779 12.4716 97.32 97.32 90.00
Sites, in units of the cell vectors:
Mg 0.4296 0.4296 0.8592
Mg 0.6796 0.1796 0.3592
Mg 0.5704 0.5704 0.1408
Mg 0.8204 0.3204 0.6408
Ag 0.2500 0.7500 0.5000
Ag 0.0000 0.0000 0.0000


Density functional theory data (meta-GGA SCAN) for a PBEsol-optimized structure of MgAsPb2.

## Properties
Crystal system: orthorhombic
Fermi-level density of states (states/eV/f.u.): 1.71
Raw total energy (eV per atom): -44.3103
Symmetry: No. 71

Lattice parameters (Å, degrees): 3.7689 3.9414 7.5471 105.14 104.46 90.00
Sites, in units of the cell vectors:
Pb 0.8227 0.8227 0.6453
Pb 0.1773 0.1773 0.3547
Mg 0.0000 0.5000 0.0000
As 0.5000 0.0000 0.0000


Density functional theory data (meta-GGA SCAN) for a PBEsol-optimized structure of CuAg2Pt.

## Properties
Crystal system: tetragonal
Fermi-level density of states (states/eV/f.u.): 1.14
Raw total energy (eV per atom): -37.0595
Symmetry: No. 99

Lattice parameters (Å, degrees): 2.8162 2.8162 7.4836 90.00 90.00 90.00
Sites, in units of the cell vectors:
Ag 0.5000 0.5000 0.2707
Ag 0.0000 0.0000 0.9950
Cu 0.0000 0.0000 0.5075
Pt 0.5000 0.5000 0.7268


Density functional theory data (meta-GGA SCAN) for a PBEsol-optimized structure of AlSb2Te.

## Properties
Crystal system: orthorhombic
Fermi-level density of states (states/eV/f.u.): 2.19
Energy relative to the elements, uncorrected (eV/atom): 0.237
Symmetry: No. 35

Lattice parameters (Å, degrees): 3.4956 3.4956 9.0544 90.00 90.00 110.53
Sites, in units of the cell vectors:
Te 0.0000 0.0000 0.4526
Sb 0.0000 0.0000 0.0214
Sb 0.5000 0.5000 0.7741
Al 0.5000 0.5000 0.2518


Density functional theory data (meta-GGA SCAN) for a PBEsol-optimized structure of Zn2PSe.

## Properties
Crystal system: cubic
Fermi-level density of states (states/eV/f.u.): 2.21
Energy relative to the elements, uncorrected (eV/atom): 0.433
Symmetry: No. 225

Lattice parameters (Å, degrees): 4.5121 4.5121 4.5121 60.00 60.00 60.00
Sites, in units of the cell vectors:
P 0.0000 0.0000 0.0000
Se 0.5000 0.5000 0.5000
Zn 0.7500 0.7500 0.7500
Zn 0.2500 0.2500 0.2500


Density functional theory data (meta-GGA SCAN) for a PBEsol-optimized structure of EuB2O4.

## Properties
Crystal system: orthorhombic
Fermi-level density of states (states/eV/f.u.): 5.36
Energy relative to the elements, uncorrected (eV/atom): -2.895
Symmetry: No. 60

Lattice parameters (Å, degrees): 4.3346 6.4584 11.9482 90.00 90.00 90.00
Sites, in units of the cell vectors:
O 0.2676 0.5948 0.0891
O 0.1503 0.1485 0.2101
O 0.2324 0.0948 0.4109
O 0.2676 0.9052 0.9109
O 0.8497 0.8515 0.7899
O 0.2324 0.4052 0.5891
O 0.1503 0.3515 0.7899
O 0.7324 0.4052 0.9109
O 0.7676 0.9052 0.5891
O 0.6503 0.3515 0.7101
O 0.6503 0.1485 0.2899
O 0.3497 0.6485 0.2899
O 0.7676 0.5948 0.4109
O 0.7324 0.0948 0.0891
O 0.8497 0.6485 0.2101
O 0.3497 0.8515 0.7101
B 0.6704 0.6277 0.3062
B 0.1704 0.6277 0.1938
B 0.8296 0.3723 0.8062
B 0.3296 0.1277 0.3062
B 0.1704 0.8723 0.8062
B 0.6704 0.8723 0.6938
B 0.3296 0.3723 0.6938
B 0.8296 0.1277 0.1938
Eu 0.7362 0.7500 0.0000
Eu 0.7638 0.2500 0.5000
Eu 0.2362 0.7500 0.5000
Eu 0.2638 0.2500 0.0000


Density functional theory data (meta-GGA SCAN) for a PBEsol-optimized structure of Cs2NaRuF6.

## Properties
Crystal system: cubic
Fermi-level density of states (states/eV/f.u.): 10.68
Energy relative to the elements, uncorrected (eV/atom): -2.597
Symmetry: No. 225

Lattice parameters (Å, degrees): 6.1478 6.1478 6.1478 60.00 60.00 60.00
Sites, in units of the cell vectors:
Cs 0.2500 0.2500 0.2500
Cs 0.7500 0.7500 0.7500
F 0.7690 0.2310 0.2310
F 0.2310 0.7690 0.2310
F 0.7690 0.7690 0.2310
F 0.7690 0.2310 0.7690
F 0.2310 0.7690 0.7690
F 0.2310 0.2310 0.7690
Na 0.5000 0.5000 0.5000
Ru 0.0000 0.0000 0.0000


Density functional theory data (meta-GGA SCAN) for a PBEsol-optimized structure of ZrSn2BiN.

## Properties
Crystal system: tetragonal
Fermi-level density of states (states/eV/f.u.): 2.60
Energy relative to the elements, uncorrected (eV/atom): 0.287
Symmetry: No. 123

Lattice parameters (Å, degrees): 3.9607 5.7971 5.7971 90.00 90.00 90.00
Sites, in units of the cell vectors:
Sn 0.0000 0.5000 0.0000
Sn 0.0000 0.0000 0.5000
Zr 0.0000 0.0000 0.0000
Bi 0.5000 0.5000 0.5000
N 0.5000 0.0000 0.0000


Density functional theory data (meta-GGA SCAN) for a PBEsol-optimized structure of SiRh2Pb.

## Properties
Crystal system: tetragonal
Fermi-level density of states (states/eV/f.u.): 2.22
Energy relative to the elements, uncorrected (eV/atom): -0.376
Symmetry: No. 123

Lattice parameters (Å, degrees): 2.9606 2.9606 7.2237 90.00 90.00 90.00
Sites, in units of the cell vectors:
Rh 0.0000 0.0000 0.1880
Rh 0.0000 0.0000 0.8120
Si 0.5000 0.5000 0.0000
Pb 0.5000 0.5000 0.5000


Density functional theory data (meta-GGA SCAN) for a PBEsol-optimized structure of W3Cl.

## Properties
Crystal system: cubic
Fermi-level density of states (states/eV/f.u.): 3.17
Energy relative to the elements, uncorrected (eV/atom): 1.646
Symmetry: No. 221

Lattice parameters (Å, degrees): 3.9872 3.9872 3.9872 90.00 90.00 90.00
Sites, in units of the cell vectors:
Cl 0.0000 0.0000 0.0000
W 0.5000 0.5000 0.0000
W 0.5000 0.0000 0.5000
W 0.0000 0.5000 0.5000


Density functional theory data (meta-GGA SCAN) for a PBEsol-optimized structure of BeReP.

## Properties
Crystal system: trigonal
Fermi-level density of states (states/eV/f.u.): 0.87
Raw total energy (eV per atom): -28.5067
Symmetry: No. 156

Lattice parameters (Å, degrees): 2.8198 2.8198 5.4740 90.00 90.00 120.00
Sites, in units of the cell vectors:
Be 0.0000 0.0000 0.9941
P 0.3333 0.6667 0.6640
Re 0.6667 0.3333 0.3418


Density functional theory data (meta-GGA SCAN) for a PBEsol-optimized structure of Ba4MgCr.

## Properties
Crystal system: cubic
Fermi-level density of states (states/eV/f.u.): 5.84
Raw total energy (eV per atom): -29.6515
Symmetry: No. 216

Lattice parameters (Å, degrees): 7.1633 7.1633 7.1633 60.00 60.00 60.00
Sites, in units of the cell vectors:
Ba 0.3752 0.3752 0.8745
Ba 0.8745 0.3752 0.3752
Ba 0.3752 0.3752 0.3752
Ba 0.3752 0.8745 0.3752
Cr 0.7500 0.7500 0.7500
Mg 0.0000 0.0000 0.0000


Density functional theory data (meta-GGA SCAN) for a PBEsol-optimized structure of MnFeGe2O.

## Properties
Crystal system: tetragonal
Fermi-level density of states (states/eV/f.u.): 4.00
Energy relative to the elements, uncorrected (eV/atom): 0.831
Symmetry: No. 123

Lattice parameters (Å, degrees): 4.4406 4.4406 4.1180 90.00 90.00 90.00
Sites, in units of the cell vectors:
Ge 0.0000 0.5000 0.0000
Ge 0.5000 0.0000 0.0000
Fe 0.0000 0.0000 0.5000
Mn 0.0000 0.0000 0.0000
O 0.5000 0.5000 0.5000


Density functional theory data (meta-GGA SCAN) for a PBEsol-optimized structure of MoPt2Pb.

## Properties
Crystal system: cubic
Fermi-level density of states (states/eV/f.u.): 3.85
Raw total energy (eV per atom): -62.4430
Symmetry: No. 216

Lattice parameters (Å, degrees): 4.5763 4.5763 4.5763 60.00 60.00 60.00
Sites, in units of the cell vectors:
Pt 0.7500 0.7500 0.7500
Pt 0.0000 0.0000 0.0000
Mo 0.5000 0.5000 0.5000
Pb 0.2500 0.2500 0.2500


Density functional theory data (meta-GGA SCAN) for a PBEsol-optimized structure of MgZrHg2.

## Properties
Crystal system: monoclinic
Fermi-level density of states (states/eV/f.u.): 2.31
Raw total energy (eV per atom): -43.2343
Symmetry: No. 8

Lattice parameters (Å, degrees): 3.0510 5.2582 5.7363 108.64 105.42 90.00
Sites, in units of the cell vectors:
Hg 0.7416 0.3202 0.4832
Hg 0.0043 0.9234 0.0085
Zr 0.2594 0.8268 0.5187
Mg 0.4948 0.4296 0.9896


Density functional theory data (meta-GGA SCAN) for a PBEsol-optimized structure of Ba2TlPb.

## Properties
Crystal system: orthorhombic
Fermi-level density of states (states/eV/f.u.): 3.44
Raw total energy (eV per atom): -57.4351
Symmetry: No. 44

Lattice parameters (Å, degrees): 4.5141 5.5501 6.7768 114.17 109.45 90.00
Sites, in units of the cell vectors:
Ba 0.7697 0.2697 0.5394
Ba 0.9772 0.9772 0.9544
Pb 0.5368 0.5368 0.0736
Tl 0.2163 0.7163 0.4325


Density functional theory data (meta-GGA SCAN) for a PBEsol-optimized structure of TaTlCo2.

## Properties
Crystal system: tetragonal
Fermi-level density of states (states/eV/f.u.): 2.17
Raw total energy (eV per atom): -42.9220
Symmetry: No. 119

Lattice parameters (Å, degrees): 3.6745 3.6745 4.9869 111.62 111.62 90.00
Sites, in units of the cell vectors:
Co 0.7500 0.2500 0.5000
Co 0.0000 0.0000 0.0000
Ta 0.5000 0.5000 0.0000
Tl 0.2500 0.7500 0.5000


Density functional theory data (meta-GGA SCAN) for a PBEsol-optimized structure of BaScHg2.

## Properties
Crystal system: trigonal
Fermi-level density of states (states/eV/f.u.): 1.94
Raw total energy (eV per atom): -47.9257
Symmetry: No. 166

Lattice parameters (Å, degrees): 3.9330 3.9330 9.0213 77.41 77.41 60.00
Sites, in units of the cell vectors:
Sc 0.0000 0.0000 0.0000
Ba 0.5000 0.5000 0.5000
Hg 0.2655 0.2655 0.2034
Hg 0.7345 0.7345 0.7966


Density functional theory data (meta-GGA SCAN) for a PBEsol-optimized structure of Ho4Ga16Co3.

## Properties
Crystal system: tetragonal
Fermi-level density of states (states/eV/f.u.): 3.72
Raw total energy (eV per atom): -22.7139
Symmetry: No. 123

Lattice parameters (Å, degrees): 5.9112 5.9112 10.8879 90.00 90.00 90.00
Sites, in units of the cell vectors:
Ga 0.7196 0.2804 0.0000
Ga 0.7503 0.7503 0.3839
Ga 0.7503 0.2497 0.3839
Ga 0.5000 0.5000 0.1953
Ga 0.2497 0.7503 0.6161
Ga 0.2804 0.7196 0.0000
Ga 0.7196 0.7196 0.0000
Ga 0.7503 0.7503 0.6161
Ga 0.0000 0.0000 0.7818
Ga 0.2497 0.7503 0.3839
Ga 0.0000 0.0000 0.2182
Ga 0.7503 0.2497 0.6161
Ga 0.2804 0.2804 0.0000
Ga 0.5000 0.5000 0.8047
Ga 0.2497 0.2497 0.3839
Ga 0.2497 0.2497 0.6161
Co 0.0000 0.5000 0.5000
Co 0.5000 0.0000 0.5000
Co 0.0000 0.0000 0.0000
Ho 0.5000 0.0000 0.8054
Ho 0.0000 0.5000 0.1946
Ho 0.5000 0.0000 0.1946
Ho 0.0000 0.5000 0.8054


Density functional theory data (meta-GGA SCAN) for a PBEsol-optimized structure of KCaOs2.

## Properties
Crystal system: tetragonal
Fermi-level density of states (states/eV/f.u.): 1.64
Raw total energy (eV per atom): -39.2132
Symmetry: No. 123

Lattice parameters (Å, degrees): 3.8165 3.8165 7.0680 90.00 90.00 90.00
Sites, in units of the cell vectors:
Ca 0.5000 0.5000 0.0000
Os 0.0000 0.0000 0.8421
Os 0.0000 0.0000 0.1579
K 0.5000 0.5000 0.5000


Density functional theory data (meta-GGA SCAN) for a PBEsol-optimized structure of Li2CoPt.

## Properties
Crystal system: tetragonal
Fermi-level density of states (states/eV/f.u.): 2.46
Raw total energy (eV per atom): -23.3200
Symmetry: No. 139

Lattice parameters (Å, degrees): 3.5307 3.5307 4.7335 111.90 111.90 90.00
Sites, in units of the cell vectors:
Li 0.2500 0.7500 0.5000
Li 0.7500 0.2500 0.5000
Co 0.0000 0.0000 0.0000
Pt 0.5000 0.5000 0.0000


Density functional theory data (meta-GGA SCAN) for a PBEsol-optimized structure of ScSbMo.

## Properties
Crystal system: cubic
Fermi-level density of states (states/eV/f.u.): 4.12
Energy relative to the elements, uncorrected (eV/atom): 0.221
Symmetry: No. 216

Lattice parameters (Å, degrees): 4.5176 4.5176 4.5176 60.00 60.00 60.00
Sites, in units of the cell vectors:
Mo 0.2500 0.2500 0.2500
Sc 0.5000 0.5000 0.5000
Sb 0.0000 0.0000 0.0000


Density functional theory data (meta-GGA SCAN) for a PBEsol-optimized structure of BaHfRe3.

## Properties
Crystal system: cubic
Fermi-level density of states (states/eV/f.u.): 6.30
Raw total energy (eV per atom): -59.4708
Symmetry: No. 221

Lattice parameters (Å, degrees): 4.8505 4.8505 4.8505 90.00 90.00 90.00
Sites, in units of the cell vectors:
Re 0.0000 0.5000 0.0000
Re 0.5000 0.0000 0.0000
Re 0.0000 0.0000 0.5000
Hf 0.5000 0.5000 0.5000
Ba 0.0000 0.0000 0.0000


Density functional theory data (meta-GGA SCAN) for a PBEsol-optimized structure of ZrAs3Cl.

## Properties
Crystal system: cubic
Fermi-level density of states (states/eV/f.u.): 2.10
Energy relative to the elements, uncorrected (eV/atom): 0.168
Symmetry: No. 221

Lattice parameters (Å, degrees): 5.1034 5.1034 5.1034 90.00 90.00 90.00
Sites, in units of the cell vectors:
Zr 0.0000 0.0000 0.0000
As 0.5000 0.0000 0.0000
As 0.0000 0.0000 0.5000
As 0.0000 0.5000 0.0000
Cl 0.5000 0.5000 0.5000


Density functional theory data (meta-GGA SCAN) for a PBEsol-optimized structure of Mg2Sc.

## Properties
Crystal system: trigonal
Fermi-level density of states (states/eV/f.u.): 2.34
Raw total energy (eV per atom): -8.0426
Symmetry: No. 164

Lattice parameters (Å, degrees): 3.2029 3.2029 7.8048 90.00 90.00 120.00
Sites, in units of the cell vectors:
Sc 0.0000 0.0000 0.0000
Mg 0.6667 0.3333 0.6662
Mg 0.3333 0.6667 0.3338